(1)
CsAl3F: optimized geometry, PBEsol.

abc: 6.3146 6.3146 6.3146
angles: 90.00 90.00 90.00
With the nearest neighbours (Å) after each atom.
Element x y z (fractional)
Al1 0.0000 0.0000 0.5000  2 Cs 3.16
Al2 0.0000 0.5000 0.0000  2 Cs 3.16
Al3 0.5000 0.0000 0.0000  2 Cs 3.16
Cs1 0.0000 0.0000 0.0000  6 Al 3.16
F1 0.5000 0.5000 0.5000  12 Al 4.47

## Properties
**E_tot**: -1.577 eV/atom
**Symmetry**: Pm-3m, No. 221
**Crystal system**: cubic
**Size of the total moment**: 0.00 μB/f.u.
**ΔE_f (raw)**: 1451 meV per atom

(2)
NiMoPt2: optimized geometry, PBEsol.

abc: 2.7077 3.8425 5.3205
angles: 90.00 90.00 90.00
With the nearest neighbours (Å) after each atom.
Element x y z (fractional)
Ni1 0.5000 0.5000 0.5000  2 Mo 2.66, 8 Pt 2.69, 2 Ni 2.71
Pt1 0.0000 0.0000 0.7467  4 Pt 2.62-2.71, 4 Ni 2.69, 4 Mo 2.71
Pt2 0.0000 0.0000 0.2533  4 Pt 2.62-2.71, 4 Ni 2.69, 4 Mo 2.71
Mo1 0.5000 0.5000 0.0000  2 Ni 2.66, 2 Mo 2.71, 8 Pt 2.71

## Properties
**E_tot**: -8.232 eV/atom
**Symmetry**: Pmmm, No. 47
**Crystal system**: orthorhombic
**Size of the total moment**: 0.00 μB/f.u.
**Calculated formation energy**: -1.08 eV/f.u.

(3)
Lu2Te4O11: optimized geometry, PBEsol.

abc: 5.0193 6.5611 15.4130
angles: 80.98 80.63 67.51
With the nearest neighbours (Å) after each atom.
Element x y z (fractional)
O1 0.3410 0.9682 0.4485  1 Te 1.90
O2 0.7577 0.5318 0.0515  1 Te 1.90
O3 0.8318 0.1773 0.9558  1 Te 1.88
O4 0.6590 0.0318 0.5515  1 Te 1.90
O5 0.2423 0.4682 0.9485  1 Te 1.90
O6 0.0352 0.6773 0.4558  1 Te 1.88
O7 0.5962 0.5473 0.4063  1 Te 1.94
O8 0.8078 0.1336 0.3710  1 Te 1.94
O9 0.7809 0.6375 0.6678  1 Te 1.87
O10 0.9648 0.3227 0.5442  1 Te 1.88
O11 0.9139 0.1375 0.1678  1 Te 1.87
O12 0.5498 0.9527 0.0937  1 Te 1.94
O13 0.6876 0.6336 0.8710  1 Te 1.94
O14 0.4038 0.4527 0.5937  1 Te 1.94
O15 0.8649 0.7500 0.2500  2 Te 2.04
O16 0.3124 0.3664 0.1290  1 Te 1.94
O17 0.1922 0.8664 0.6290  1 Te 1.94
O18 0.1351 0.2500 0.7500  2 Te 2.04
O19 0.4502 0.0473 0.9063  1 Te 1.94
O20 0.2191 0.3625 0.3322  1 Te 1.87
O21 0.1682 0.8227 0.0442  1 Te 1.88
O22 0.0861 0.8625 0.8322  1 Te 1.87
Lu1 0.8687 0.7969 0.9638  7 O 2.17-2.42
Lu2 0.1313 0.2031 0.0362  7 O 2.17-2.42
Lu3 0.6294 0.7031 0.5362  7 O 2.17-2.42
Lu4 0.3706 0.2969 0.4638  7 O 2.17-2.42
Te1 0.8467 0.4476 0.2995  3 O 1.87-2.04
Te2 0.4061 0.9476 0.7995  3 O 1.87-2.04
Te3 0.5931 0.3721 0.8721  3 O 1.88-1.94
Te4 0.1533 0.5524 0.7005  3 O 1.87-2.04
Te5 0.5939 0.0524 0.2005  3 O 1.87-2.04
Te6 0.4069 0.6279 0.1279  3 O 1.88-1.94
Te7 0.1627 0.8721 0.3721  3 O 1.88-1.94
Te8 0.8373 0.1279 0.6279  3 O 1.88-1.94

## Properties
**E_tot**: -6.699 eV/atom
**Symmetry**: C2/c, No. 15
**Crystal system**: monoclinic
**Size of the total moment**: 0.00 μB/f.u.
**ΔE_f (raw)**: -1900 meV per atom

(4)
Ti3SnS: optimized geometry, PBEsol.

abc: 4.4647 4.4647 4.4647
angles: 90.00 90.00 90.00
With the nearest neighbours (Å) after each atom.
Element x y z (fractional)
S1 0.0000 0.0000 0.0000  6 Ti 2.23
Ti1 0.0000 0.5000 0.0000  2 S 2.23
Ti2 0.5000 0.0000 0.0000  2 S 2.23
Ti3 0.0000 0.0000 0.5000  2 S 2.23
Sn1 0.5000 0.5000 0.5000  12 Ti 3.16

## Properties
**E_tot**: -7.292 eV/atom
**Symmetry**: Pm-3m, No. 221
**Crystal system**: cubic
**Size of the total moment**: 0.03 μB/f.u.
**ΔE_f (raw)**: -570 meV per atom